[1]
Entry from Alexandria: Ta3H8W after structural relaxation (GGA-PBE).

Cell and atoms, written as POSCAR:
```
Ta3H8W
1.0
-0.432 1.493 4.214
-4.015 -3.428 -1.590
0.463 -4.196 1.534
H Ta W
8 3 1
Cartesian
-0.849 -2.936 2.134
-1.302 -0.051 3.492
-2.900 -5.322 2.803
-3.135 -3.194 2.025
-2.916 -3.951 -0.112
-1.083 -0.808 1.355
-2.682 -6.079 0.666
-1.067 -2.179 4.271
-1.984 -3.741 3.516
0.016 -1.351 2.874
-2.000 -2.390 0.642
0.000 0.000 0.000
```

E_tot: -6.299 eV per atom

=====

[2]
Entry from Alexandria: SiRhW2 after structural relaxation (GGA-PBE).

Cell and atoms, written as POSCAR:
```
SiRhW2
1.0
5.083 -0.005 -0.001
4.325 2.671 -0.001
1.567 0.444 4.316
Si Rh W
1 1 2
Cartesian
2.532 0.718 0.928
5.780 1.638 2.260
9.239 2.618 0.263
8.320 2.358 3.016
```

Formation energy without anion corrections: -0.4 eV/f.u.

=====

[3]
Entry from Alexandria: U4O7 after structural relaxation (GGA-PBE).

Cell and atoms, written as POSCAR:
```
U4O7
1.0
2.738 6.069 0.006
-2.738 6.069 0.006
0.000 4.861 9.708
O U
14 8
Cartesian
-1.375 8.408 4.740
-1.375 6.160 0.125
1.407 12.018 6.144
-1.407 4.981 3.576
-1.342 9.715 7.287
1.375 10.839 9.595
1.330 9.729 1.207
1.375 8.590 4.979
-1.407 9.588 1.290
1.407 7.411 8.430
1.342 7.284 2.433
1.330 4.839 3.659
-1.330 7.270 8.513
-1.330 12.159 6.061
0.056 7.899 0.543
0.056 6.669 4.322
-0.056 9.100 9.176
0.112 5.540 7.929
-0.112 11.459 1.790
0.112 13.889 6.644
-0.112 3.110 3.075
-0.056 10.329 5.397
```

Formation energy without anion corrections: -33.9 eV/f.u.

=====

no.,magnetic moment (μB per cell),N(E_F) (states/eV/f.u.),volume (Å³/cell)
1,0.00,4.27,90.9
2,0.00,2.22,58.7
3,19.97,20.39,322.5